VASP calculation (GGA-PBEsol) on NaZnPO2 after structural relaxation.

Cell lengths 3.9789, 3.9789, 5.0626 Å; angles 90.00, 90.00, 90.00 degrees
Closest atoms and distances in Å follow each position.
Space group P4/mmm (No. 123)
Asymmetric unit:
Na  0.0000  0.0000  0.0000 (multiplicity 1)  4 O 1.99
Zn  0.5000  0.5000  0.5000 (multiplicity 1)  4 P 2.81
P  0.0000  0.0000  0.5000 (multiplicity 1)  2 Na 2.53, 4 Zn 2.81
O  0.0000  0.5000  0.0000 (multiplicity 2)  2 Na 1.99

Computed properties:
DFT total energy, Ry/atom: -0.21946

***

VASP calculation (GGA-PBEsol) on Na2ZnP2O7 after structural relaxation.

Cell lengths 7.7361, 7.7361, 10.2777 Å; angles 90.00, 90.00, 90.00 degrees
Closest atoms and distances in Å follow each position.
Space group P4_2/mnm (No. 136)
Asymmetric unit:
Na  0.1443  0.1443  0.0000 (multiplicity 4)  8 O 2.62
Na  0.1937  0.1937  0.5000 (multiplicity 4)  4 O 2.37-2.64
Zn  0.0000  0.5000  0.2500 (multiplicity 4)  4 O 1.94
P  0.1388  0.8612  0.2896 (multiplicity 8)  4 O 1.51-1.63
O  0.0000  0.0000  0.3474 (multiplicity 4)  2 P 1.63
O  0.0809  0.6917  0.3547 (multiplicity 16)  1 P 1.54
O  0.1363  0.8637  0.1428 (multiplicity 8)  1 P 1.51

Computed properties:
DFT total energy, Ry/atom: -0.48091

***

VASP calculation (GGA-PBEsol) on Na2ZnPO5 after structural relaxation.

Cell lengths 8.4878, 9.8065, 5.7671 Å; angles 90.00, 104.31, 90.00 degrees
Closest atoms and distances in Å follow each position.
Space group P2_1/c (No. 14)
Asymmetric unit:
Na  0.1223  0.1695  0.3583 (multiplicity 4)  4 O 2.27-2.35
Na  0.2011  0.6420  0.8107 (multiplicity 4)  5 O 2.31-2.47
Zn  0.4880  0.1431  0.2348 (multiplicity 4)  4 O 1.88-1.96
P  0.2039  0.0081  0.8559 (multiplicity 4)  4 O 1.53-1.57
O  0.0769  0.1086  0.7169 (multiplicity 4)  1 P 1.53
O  0.1363  0.6349  0.3794 (multiplicity 4)  1 P 1.53
O  0.2736  0.0650  0.1165 (multiplicity 4)  1 P 1.57
O  0.3421  0.5034  0.2187 (multiplicity 4)  1 P 1.57
O  0.4761  0.7047  0.9444 (multiplicity 4)  2 Zn 1.88-1.90

Computed properties:
DFT total energy, Ry/atom: -0.42918

***

VASP calculation (GGA-PBEsol) on NaZr2P3O12 after structural relaxation.

Cell lengths 8.8571, 8.8571, 22.7021 Å; angles 90.00, 90.00, 120.00 degrees
Closest atoms and distances in Å follow each position.
Space group R-3c (No. 167, hexagonal axes)
Asymmetric unit:
Na  0.0000  0.0000  0.0000 (multiplicity 6)  6 O 2.53
Zr  0.0000  0.0000  0.1448 (multiplicity 12)  6 O 2.04-2.10
P  0.0000  0.2911  0.2500 (multiplicity 18)  4 O 1.54
O  0.0124  0.1980  0.1946 (multiplicity 36)  1 P 1.54
O  0.0232  0.1929  0.9141 (multiplicity 36)  1 P 1.54

Computed properties:
DFT total energy, Ry/atom: -0.60999

***

VASP calculation (GGA-PBEsol) on NaPaO3 after structural relaxation.

Cell lengths 4.3157, 4.3157, 4.3157 Å; angles 90.00, 90.00, 90.00 degrees
Closest atoms and distances in Å follow each position.
Space group Pm-3m (No. 221)
Asymmetric unit:
Na  0.0000  0.0000  0.0000 (multiplicity 1)  12 O 3.05
Pa  0.5000  0.5000  0.5000 (multiplicity 1)  6 O 2.16
O  0.0000  0.5000  0.5000 (multiplicity 3)  2 Pa 2.16

Computed properties:
DFT total energy, Ry/atom: -0.62401

***

VASP calculation (GGA-PBEsol) on Rb3NaPbO4 after structural relaxation.

Cell lengths 10.9409, 6.6557, 11.0603 Å; angles 90.00, 111.50, 90.00 degrees
Closest atoms and distances in Å follow each position.
Space group P2_1/c (No. 14)
Asymmetric unit:
Rb  0.0344  0.1804  0.1740 (multiplicity 4)  5 O 2.86-3.10
Rb  0.3192  0.6187  0.8952 (multiplicity 4)  4 O 2.71-2.95
Rb  0.4550  0.1028  0.8118 (multiplicity 4)  4 O 2.84-2.99
Na  0.1245  0.6241  0.1092 (multiplicity 4)  4 O 2.26-2.35
Pb  0.2414  0.1428  0.9928 (multiplicity 4)  4 O 2.08-2.09
O  0.1054  0.1219  0.4544 (multiplicity 4)  1 Pb 2.09, 1 Na 2.32
O  0.2030  0.0017  0.8136 (multiplicity 4)  1 Pb 2.09, 1 Na 2.26
O  0.2291  0.5716  0.6244 (multiplicity 4)  1 Pb 2.08, 1 Na 2.30
O  0.4307  0.2390  0.5549 (multiplicity 4)  1 Pb 2.08

Computed properties:
DFT total energy, Ry/atom: -0.33259

***

VASP calculation (GGA-PBEsol) on NaV3Pb4O12 after structural relaxation.

Cell lengths 9.9605, 9.9605, 7.3074 Å; angles 90.00, 90.00, 120.00 degrees
Closest atoms and distances in Å follow each position.
Space group P6_3 (No. 173)
Asymmetric unit:
Na  0.3333  0.6667  0.0000 (multiplicity 2)  6 O 2.48-2.62
V  0.0194  0.3956  0.7544 (multiplicity 6)  4 O 1.71-1.73
Pb  0.9999  0.2506  0.2599 (multiplicity 6)  3 O 2.25-2.50
Pb  0.3333  0.6667  0.4800 (multiplicity 2)  3 O 2.42
O  0.0749  0.3235  0.9328 (multiplicity 6)  1 V 1.71
O  0.0951  0.3559  0.5652 (multiplicity 6)  1 V 1.71
O  0.1046  0.5952  0.7722 (multiplicity 6)  1 V 1.73
O  0.1790  0.6968  0.2454 (multiplicity 6)  1 V 1.71

Computed properties:
DFT total energy, Ry/atom: -0.54404

***

VASP calculation (GGA-PBEsol) on NaZnPb2O after structural relaxation.

Cell lengths 5.4958, 5.4958, 3.9027 Å; angles 90.00, 90.00, 90.00 degrees
Closest atoms and distances in Å follow each position.
Space group P4/mmm (No. 123)
Asymmetric unit:
Na  0.0000  0.0000  0.0000 (multiplicity 1)  2 O 1.95
Zn  0.5000  0.5000  0.5000 (multiplicity 1)  8 Pb 3.37
Pb  0.0000  0.5000  0.0000 (multiplicity 2)  2 Na 2.75
O  0.0000  0.0000  0.5000 (multiplicity 1)  2 Na 1.95

Computed properties:
DFT total energy, Ry/atom: -0.21096

***

> Which value of DFT total energy does entry 8 give?

-0.21096 Ry/atom

***

> Which of these has the highest DFT total energy?

NaZnPb2O

***

> DFT total energy of number 8 (NaZnPb2O)?

-0.21096 Ry/atom